A | RbAsHIr | PBE | relaxed

Lattice parameters (Å, degrees): 3.0713 4.3074 12.2871 90.00 90.00 90.00
Positions (direct):
Ir: 0.5000 0.5000 0.5834
Ir: 0.5000 0.0000 0.0834
As: 0.5000 0.0000 0.6686
As: 0.5000 0.5000 0.1686
H: 0.0000 0.0000 0.0132
H: 0.0000 0.5000 0.5132
Rb: 0.0000 0.0000 0.3702
Rb: 0.0000 0.5000 0.8702

Values from the calculation:
- magnetic moment (μB per formula unit) = 0.000
- DOS(E_F) (states/eV/cell) = 3.59
- mass density (g cm⁻³) = 7.22



B | RbAsHIr | PBE | relaxed

Lattice parameters (Å, degrees): 3.9400 3.9405 6.7266 107.09 92.78 114.55
Positions (direct):
Rb: 0.5337 0.9573 0.7562
H: 0.0943 0.1728 0.5332
Ir: 0.0257 0.9833 0.2744
As: 0.3448 0.5798 0.1900

Values from the calculation:
- magnetic moment (μB per formula unit) = 0.000
- DOS(E_F) (states/eV/cell) = 1.13
- mass density (g cm⁻³) = 6.60



C | RbAsHIr | PBE | relaxed

Lattice parameters (Å, degrees): 3.9655 4.2757 6.1728 90.26 92.38 122.28
Positions (direct):
H: 0.3803 0.5481 0.8265
Rb: 0.0614 0.8881 0.6152
Ir: 0.3807 0.5457 0.0905
As: 0.6920 0.2020 0.1653

Values from the calculation:
- magnetic moment (μB per formula unit) = 0.000
- DOS(E_F) (states/eV/cell) = 1.31
- mass density (g cm⁻³) = 6.65



D | RbAsHIr | PBE | relaxed

Lattice parameters (Å, degrees): 3.2426 3.2426 13.7566 90.00 90.00 90.00
Positions (direct):
As: 0.0000 0.0000 0.5934
As: 0.5000 0.5000 0.0934
Rb: 0.5000 0.5000 0.3910
Rb: 0.0000 0.0000 0.8910
H: 0.0000 0.0000 0.2989
H: 0.5000 0.5000 0.7989
Ir: 0.0000 0.0000 0.1767
Ir: 0.5000 0.5000 0.6767

Values from the calculation:
- magnetic moment (μB per formula unit) = 0.002
- DOS(E_F) (states/eV/cell) = 3.87
- mass density (g cm⁻³) = 8.12



Which is less stable than every other structure shown? A is.